# 1
Here is Ba2Zn3InHg4 after structural relaxation from Alexandria via LeMat-Bulk. Energies are from GGA-PBE.

Cell and atoms, written as CIF:
```
data_Ba2Zn3InHg4
_symmetry_space_group_name_H-M 'P -4 m 2'
_symmetry_Int_Tables_number 115
_cell_length_a 4.844
_cell_length_b 4.844
_cell_length_c 11.432
_cell_angle_alpha 90.00
_cell_angle_beta 90.00
_cell_angle_gamma 90.00
loop_
_symmetry_equiv_pos_as_xyz
'x,y,z'
'y,-x,-z'
'-x,-y,z'
'-y,x,-z'
'-x,y,z'
'-y,-x,-z'
'x,-y,z'
'y,x,-z'
loop_
_atom_site_label
_atom_site_fract_x
_atom_site_fract_y
_atom_site_fract_z
_atom_site_occupancy
Ba1 0.000 0.500 0.246 1
Zn1 0.000 0.500 0.877 1
Zn2 0.500 0.500 0.500 1
In1 0.000 0.000 0.500 1
Hg1 0.000 0.000 0.000 1
Hg2 0.000 0.500 0.640 1
Hg3 0.500 0.500 0.000 1
```

Calculated values
DFT formation energy   -0.29 eV/atom

# 2
Here is MgCo2Ni2 after structural relaxation from Alexandria via LeMat-Bulk. Energies are from GGA-PBE.

Cell and atoms, written as CIF:
```
data_MgCo2Ni2
_symmetry_space_group_name_H-M 'I 4/m m m'
_symmetry_Int_Tables_number 139
_symmetry_space_group_name_Hall '-I 4 2'
_cell_length_a 3.628
_cell_length_b 3.628
_cell_length_c 10.236
_cell_angle_alpha 90.00
_cell_angle_beta 90.00
_cell_angle_gamma 90.00
loop_
_atom_site_label
_atom_site_fract_x
_atom_site_fract_y
_atom_site_fract_z
_atom_site_occupancy
Mg1 0.000 0.000 0.000 1
Co1 0.000 0.000 0.395 1
Ni1 0.000 0.500 0.250 1
```

Calculated values
DFT formation energy   0.20 eV/atom
Energy above the lowest structure with this stoichiometry   116 meV/atom

# 3
Here is VTcPd2Au after structural relaxation from Alexandria via LeMat-Bulk. Energies are from GGA-PBE.

Cell and atoms, written as CIF:
```
data_VTcPd2Au
_symmetry_space_group_name_H-M 'P 4/m m m'
_symmetry_Int_Tables_number 123
_symmetry_space_group_name_Hall '-P 4 2'
_cell_length_a 4.875
_cell_length_b 4.875
_cell_length_c 4.752
_cell_angle_alpha 90.00
_cell_angle_beta 90.00
_cell_angle_gamma 90.00
loop_
_atom_site_label
_atom_site_fract_x
_atom_site_fract_y
_atom_site_fract_z
_atom_site_occupancy
V1 0.000 0.000 0.000 1
Tc1 0.500 0.500 0.000 1
Pd1 0.000 0.500 0.500 1
Au1 0.500 0.500 0.500 1
```

Calculated values
DFT formation energy   1.86 eV/atom

# 4
Here is GaAs2Pd6 after structural relaxation from Alexandria via LeMat-Bulk. Energies are from GGA-PBE.

Cell and atoms, written as CIF:
```
data_GaAs2Pd6
_symmetry_space_group_name_H-M 'C 1 2/m 1'
_symmetry_Int_Tables_number 12
_cell_length_a 12.507
_cell_length_b 4.127
_cell_length_c 7.228
_cell_angle_alpha 90.00
_cell_angle_beta 99.97
_cell_angle_gamma 90.00
loop_
_symmetry_equiv_pos_as_xyz
'x,y,z'
'-x,-y,-z'
'-x,y,-z'
'x,-y,z'
'x+1/2,y+1/2,z'
'-x+1/2,-y+1/2,-z'
'-x+1/2,y+1/2,-z'
'x+1/2,-y+1/2,z'
loop_
_atom_site_label
_atom_site_fract_x
_atom_site_fract_y
_atom_site_fract_z
_atom_site_occupancy
Ga1 0.000 0.000 0.000 1
As1 0.245 0.000 0.742 1
Pd1 0.053 0.000 0.679 1
Pd2 0.060 0.500 0.196 1
Pd3 0.187 0.000 0.393 1
```

Calculated values
DFT formation energy   -0.16 eV/atom